A plane-wave DFT calculation with PBE+U was carried out for a relaxed CoAg2F crystal.

a = 4.419 Å, b = 4.419 Å, c = 4.419 Å
α = 60.00°, β = 60.00°, γ = 60.00°
Site moments in Bohr magnetons follow the coordinates.
Element x y z (fractional)
Ag  0.250  0.250  0.250  -0.01
Ag  0.750  0.750  0.750  -0.01
Co  0.500  0.500  0.500  2.04
F  0.000  0.000  0.000  0.01

Summary:
For the total energy, the calculation gives -3.249 eV/atom.